# 1
This record from the Alexandria database describes an optimized crystal structure of TbNd3Tm5. The functional is PBE.

Computed properties:
* energy relative to the elements: 0.531 eV per atom
* SG: C2/m, No. 12

abc: 9.4909 9.4909 10.0449
angles: 121.86 121.86 72.01
Fractional positions:
Tb 0.2476 0.2476 0.0987
Tb 0.7524 0.7524 0.9013
Nd 0.0000 0.0000 0.0000
Nd 0.0286 0.0286 0.6884
Nd 0.4899 0.4899 0.7852
Nd 0.5000 0.5000 0.5000
Nd 0.5101 0.5101 0.2148
Nd 0.9714 0.9714 0.3116
Tm 0.0882 0.5910 0.4342
Tm 0.2207 0.2207 0.4102
Tm 0.2603 0.7397 0.0000
Tm 0.2879 0.2879 0.7985
Tm 0.4090 0.9118 0.5658
Tm 0.5910 0.0882 0.4342
Tm 0.7121 0.7121 0.2015
Tm 0.7397 0.2603 0.0000
Tm 0.7793 0.7793 0.5898
Tm 0.9118 0.4090 0.5658


# 2
This record from the Alexandria database describes an optimized crystal structure of Th2NpInN5. The functional is PBE.

Computed properties:
* uncorrected formation energy: -0.990 eV/atom
* SG: Cmc2_1, No. 36

abc: 7.2499 7.2499 10.8835
angles: 90.00 90.00 151.66
Fractional positions:
Th 0.1146 0.8854 0.5000
Th 0.1390 0.8610 0.0841
Th 0.8610 0.1390 0.5841
Th 0.8854 0.1146 0.0000
Np 0.2133 0.7867 0.8073
Np 0.7867 0.2133 0.3073
In 0.4805 0.5195 0.2726
In 0.5195 0.4805 0.7726
N 0.0622 0.9378 0.8675
N 0.2805 0.7195 0.4521
N 0.3031 0.6969 0.1646
N 0.3638 0.6362 0.8291
N 0.4889 0.5111 0.5782
N 0.5111 0.4889 0.0782
N 0.6362 0.3638 0.3291
N 0.6969 0.3031 0.6646
N 0.7195 0.2805 0.9521
N 0.9378 0.0622 0.3675


# 3
This record from the Alexandria database describes an optimized crystal structure of GdTm2Cu. The functional is PBE.

Computed properties:
* energy above the lowest structure with this stoichiometry: 0.56 eV per formula unit
* energy relative to the elements: 0.027 eV per atom
* SG: R-3m, No. 166

abc: 10.0213 10.0213 10.0213
angles: 20.48 20.48 20.48
Fractional positions:
Gd 0.0000 0.0000 0.0000
Tm 0.2335 0.2335 0.2335
Tm 0.7665 0.7665 0.7665
Cu 0.5000 0.5000 0.5000